(1)
The following is a DFT calculation (PBE) of La3ReRh after structural relaxation.

abc: 5.4159 5.4159 5.4159
angles: 90.00 90.00 90.00
Space group Pm-3m (No. 221)
One atom of each set of equivalent atoms:
La 0.0000 0.0000 0.5000
Re 0.0000 0.0000 0.0000
Rh 0.5000 0.5000 0.5000

Results
**Formation energy from the elements**: 0.377 eV per atom

(2)
The following is a DFT calculation (PBE) of LiTc2Au after structural relaxation.

abc: 2.6776 4.4586 5.0208
angles: 90.00 90.00 90.00
Space group Pmmm (No. 47)
One atom of each set of equivalent atoms:
Li 0.0000 0.0000 0.0000
Tc 0.5000 0.5000 0.2262
Au 0.0000 0.0000 0.5000

Results
**Formation energy from the elements**: 0.213 eV per atom

(3)
The following is a DFT calculation (PBE) of RbGa3Tc after structural relaxation.

abc: 5.7539 5.7539 16.2237
angles: 90.00 90.00 90.00
Space group I-4m2 (No. 119)
One atom of each set of equivalent atoms:
Rb 0.0000 0.0000 0.1486
Ga 0.0000 0.2229 0.3630
Ga 0.0000 0.5000 0.5050
Tc 0.0000 0.0000 0.5000
Tc 0.0000 0.5000 0.2500

Results
**Formation energy from the elements**: 0.220 eV per atom

no.,total DFT energy (no corrections) (eV/atom),DOS at the Fermi energy (states/eV/f.u.),energy above the most stable polymorph in this dataset (meV per atom)
1,-6.54,5.332,0
2,-6.27,1.760,173
3,-3.86,1.503,364